(1)
# YLuBeAg

Crystalline YLuBeAg at its relaxed geometry (PBE, the Alexandria database).

Properties
ΔE_f: -0.082 eV per atom
Crystal system: cubic

Geometry as CIF:
```
data_YLuBeAg
_cell_length_a 7.024
_cell_length_b 7.024
_cell_length_c 7.024
_cell_angle_alpha 90.00
_cell_angle_beta 90.00
_cell_angle_gamma 90.00
_space_group_name_H-M_alt 'F -4 3 m'
_space_group_IT_number 216
_space_group_name_Hall 'F -4 2 3'
loop_
_atom_site_label
_atom_site_fract_x
_atom_site_fract_y
_atom_site_fract_z
Y1 0.000 0.000 0.000
Lu1 0.000 0.000 0.500
Be1 0.250 0.250 0.250
Ag1 0.250 0.250 0.750
```

(2)
# CaFe3Ge

Crystalline CaFe3Ge at its relaxed geometry (PBE, the Alexandria database).

Properties
ΔE_f: 1.917 eV per atom
Energy relative to the lowest polymorph listed for this composition: 6.90 eV per formula unit
Crystal system: cubic

Geometry as CIF:
```
data_CaFe3Ge
_cell_length_a 4.537
_cell_length_b 4.537
_cell_length_c 4.537
_cell_angle_alpha 90.00
_cell_angle_beta 90.00
_cell_angle_gamma 90.00
_space_group_name_H-M_alt 'P m -3 m'
_space_group_IT_number 221
_space_group_name_Hall '-P 4 2 3'
loop_
_atom_site_label
_atom_site_fract_x
_atom_site_fract_y
_atom_site_fract_z
Ca1 0.000 0.000 0.000
Fe1 0.000 0.000 0.500
Ge1 0.500 0.500 0.500
```

(3)
# In2C2Br

Crystalline In2C2Br at its relaxed geometry (PBE, the Alexandria database).

Properties
Energy relative to the lowest polymorph listed for this composition: 0.00 eV per formula unit
Formation energy from raw total energies: 0.711 eV per atom
Crystal system: tetragonal

Geometry as CIF:
```
data_In2C2Br
_cell_length_a 4.888
_cell_length_b 4.888
_cell_length_c 8.110
_cell_angle_alpha 90.00
_cell_angle_beta 90.00
_cell_angle_gamma 90.00
_space_group_name_H-M_alt 'I 4/m m m'
_space_group_IT_number 139
_space_group_name_Hall '-I 4 2'
loop_
_atom_site_label
_atom_site_fract_x
_atom_site_fract_y
_atom_site_fract_z
In1 0.000 0.500 0.250
C1 0.000 0.000 0.080
Br1 0.000 0.000 0.500
```

(4)
# LaPmInRh

Crystalline LaPmInRh at its relaxed geometry (PBE, the Alexandria database).

Properties
ΔE_f: -0.448 eV per atom
Crystal system: cubic

Geometry as CIF:
```
data_LaPmInRh
_cell_length_a 7.482
_cell_length_b 7.482
_cell_length_c 7.482
_cell_angle_alpha 90.00
_cell_angle_beta 90.00
_cell_angle_gamma 90.00
_space_group_name_H-M_alt 'F -4 3 m'
_space_group_IT_number 216
_space_group_name_Hall 'F -4 2 3'
loop_
_atom_site_label
_atom_site_fract_x
_atom_site_fract_y
_atom_site_fract_z
La1 0.000 0.000 0.000
Pm1 0.000 0.000 0.500
In1 0.250 0.250 0.250
Rh1 0.250 0.250 0.750
```

Number 1: volume 21.656 A^3/atom. Number 2: volume 18.677 A^3/atom. Number 3: volume 19.374 A^3/atom. Number 4: volume 26.175 A^3/atom.